Entry from the Open Quantum Materials Database: a relaxed LuCuW crystal (PBE-GGA).

Uncorrected energy ... -5.79 eV per atom
Space group ... F-43m, No. 216
Theoretical density ... 10.90 g cm⁻³
ΔE_f ... 1.280 eV per atom
Magnetic moment ... 2.2 μB/f.u.

Structure (CIF):
```
data_LuCuW
_chemical_formula_sum 'Lu1 Cu1 W1'
_space_group_name_H-M_alt 'P 1'
_space_group_IT_number 1
_space_group_name_Hall 'P 1'
_cell_length_a 4.4974
_cell_length_b 4.4974
_cell_length_c 4.4974
_cell_angle_alpha 60.00
_cell_angle_beta 60.00
_cell_angle_gamma 60.00
loop_
_atom_site_label
_atom_site_fract_x
_atom_site_fract_y
_atom_site_fract_z
Lu1 0.0000 0.0000 0.0000
Cu1 0.5000 0.5000 0.5000
W1 0.7500 0.7500 0.7500
```

Entry from the Open Quantum Materials Database: a relaxed CdHgSO crystal (PBE-GGA).

Uncorrected energy ... -3.08 eV per atom
Space group ... Pca2_1, No. 29
Theoretical density ... 7.18 g cm⁻³

Structure (CIF):
```
data_CdHgSO
_chemical_formula_sum 'Cd4 Hg4 S4 O4'
_space_group_name_H-M_alt 'P 1'
_space_group_IT_number 1
_space_group_name_Hall 'P 1'
_cell_length_a 6.6493
_cell_length_b 7.9282
_cell_length_c 6.3354
_cell_angle_alpha 90.00
_cell_angle_beta 90.00
_cell_angle_gamma 90.00
loop_
_atom_site_label
_atom_site_fract_x
_atom_site_fract_y
_atom_site_fract_z
Cd1 0.1178 0.0904 0.0000
Cd2 0.3822 0.0904 0.5000
Cd3 0.6178 0.9096 0.0000
Cd4 0.8822 0.9096 0.5000
Hg1 0.0569 0.6375 0.0848
Hg2 0.4431 0.6375 0.5848
Hg3 0.5569 0.3625 0.0848
Hg4 0.9431 0.3625 0.5848
S1 0.0623 0.6547 0.6712
S2 0.4377 0.6547 0.1712
S3 0.5623 0.3453 0.6712
S4 0.9377 0.3453 0.1712
O1 0.0815 0.1023 0.6524
O2 0.4185 0.1023 0.1524
O3 0.5815 0.8977 0.6524
O4 0.9185 0.8977 0.1524
```

Entry from the Open Quantum Materials Database: a relaxed Co2Pb crystal (PBE-GGA).

Uncorrected energy ... -4.73 eV per atom
Space group ... P4_2/mnm, No. 136
Theoretical density ... 8.86 g cm⁻³
Magnetic moment ... 3.2 μB/f.u.

Structure (CIF):
```
data_Co2Pb
_chemical_formula_sum 'Co4 Pb2'
_space_group_name_H-M_alt 'P 1'
_space_group_IT_number 1
_space_group_name_Hall 'P 1'
_cell_length_a 5.1436
_cell_length_b 5.1436
_cell_length_c 4.6031
_cell_angle_alpha 90.00
_cell_angle_beta 90.00
_cell_angle_gamma 90.00
loop_
_atom_site_label
_atom_site_fract_x
_atom_site_fract_y
_atom_site_fract_z
Co1 0.1539 0.1539 0.0000
Co2 0.3461 0.6539 0.5000
Co3 0.6539 0.3461 0.5000
Co4 0.8461 0.8461 0.0000
Pb1 0.0000 0.0000 0.5000
Pb2 0.5000 0.5000 0.0000
```

Entry from the Open Quantum Materials Database: a relaxed Ta6Al7 crystal (PBE-GGA).

Uncorrected energy ... -7.74 eV per atom
Space group ... R-3m, No. 166
Theoretical density ... 9.99 g cm⁻³
Magnetic moment ... 0.0 μB/f.u.

Structure (CIF):
```
data_Ta6Al7
_chemical_formula_sum 'Ta6 Al7'
_space_group_name_H-M_alt 'P 1'
_space_group_IT_number 1
_space_group_name_Hall 'P 1'
_cell_length_a 9.7205
_cell_length_b 9.7205
_cell_length_c 9.7205
_cell_angle_alpha 30.66
_cell_angle_beta 30.66
_cell_angle_gamma 30.66
loop_
_atom_site_label
_atom_site_fract_x
_atom_site_fract_y
_atom_site_fract_z
Ta1 0.0463 0.0463 0.0463
Ta2 0.1480 0.1480 0.1480
Ta3 0.3342 0.3342 0.3342
Ta4 0.6658 0.6658 0.6658
Ta5 0.8520 0.8520 0.8520
Ta6 0.9537 0.9537 0.9537
Al1 0.0845 0.5906 0.5906
Al2 0.4094 0.4094 0.9155
Al3 0.4094 0.9155 0.4094
Al4 0.5000 0.5000 0.5000
Al5 0.5906 0.0845 0.5906
Al6 0.5906 0.5906 0.0845
Al7 0.9155 0.4094 0.4094
```

Entry from the Open Quantum Materials Database: a relaxed GdDyCu2 crystal (PBE-GGA).

Uncorrected energy ... -4.41 eV per atom
Space group ... Amm2, No. 38
Theoretical density ... 8.62 g cm⁻³
ΔE_f ... -0.242 eV per atom
Magnetic moment ... 0.0 μB/f.u.

Structure (CIF):
```
data_GdDyCu2
_chemical_formula_sum 'Gd1 Dy1 Cu2'
_space_group_name_H-M_alt 'P 1'
_space_group_IT_number 1
_space_group_name_Hall 'P 1'
_cell_length_a 4.4767
_cell_length_b 5.5067
_cell_length_c 5.5067
_cell_angle_alpha 39.37
_cell_angle_beta 90.00
_cell_angle_gamma 90.00
loop_
_atom_site_label
_atom_site_fract_x
_atom_site_fract_y
_atom_site_fract_z
Gd1 0.0000 0.0000 0.0000
Dy1 0.5000 0.7198 0.7198
Cu1 0.0000 0.2865 0.2865
Cu2 0.5000 0.4311 0.4311
```

Entry from the Open Quantum Materials Database: a relaxed Co12W17 crystal (PBE-GGA).

Uncorrected energy ... -10.28 eV per atom
Space group ... I-43m, No. 217
Theoretical density ... 15.61 g cm⁻³
ΔE_f ... 0.256 eV per atom
Magnetic moment ... 0.4 μB/f.u.

Structure (CIF):
```
data_Co12W17
_chemical_formula_sum 'Co12 W17'
_space_group_name_H-M_alt 'P 1'
_space_group_IT_number 1
_space_group_name_Hall 'P 1'
_cell_length_a 8.0899
_cell_length_b 8.0899
_cell_length_c 8.0899
_cell_angle_alpha 109.47
_cell_angle_beta 109.47
_cell_angle_gamma 109.47
loop_
_atom_site_label
_atom_site_fract_x
_atom_site_fract_y
_atom_site_fract_z
Co1 0.0000 0.4232 0.6870
Co2 0.0000 0.6870 0.4232
Co3 0.2638 0.5768 0.5768
Co4 0.3130 0.3130 0.7362
Co5 0.3130 0.7362 0.3130
Co6 0.4232 0.0000 0.6870
Co7 0.4232 0.6870 0.0000
Co8 0.5768 0.2638 0.5768
Co9 0.5768 0.5768 0.2638
Co10 0.6870 0.0000 0.4232
Co11 0.6870 0.4232 0.0000
Co12 0.7362 0.3130 0.3130
W1 0.0000 0.0000 0.0000
W2 0.0000 0.0000 0.6506
W3 0.0000 0.2006 0.3993
W4 0.0000 0.3993 0.2006
W5 0.0000 0.6506 0.0000
W6 0.1987 0.7994 0.7994
W7 0.2006 0.0000 0.3993
W8 0.2006 0.3993 0.0000
W9 0.3494 0.3494 0.3494
W10 0.3993 0.0000 0.2006
W11 0.3993 0.2006 0.0000
W12 0.6007 0.6007 0.8013
W13 0.6007 0.8013 0.6007
W14 0.6506 0.0000 0.0000
W15 0.7994 0.1987 0.7994
W16 0.7994 0.7994 0.1987
W17 0.8013 0.6007 0.6007
```

Please write out number 6 again, unchanged.
Entry from the Open Quantum Materials Database: a relaxed Co12W17 crystal (PBE-GGA).

Uncorrected energy ... -10.28 eV per atom
Space group ... I-43m, No. 217
Theoretical density ... 15.61 g cm⁻³
ΔE_f ... 0.256 eV per atom
Magnetic moment ... 0.4 μB/f.u.

Structure (CIF):
```
data_Co12W17
_chemical_formula_sum 'Co12 W17'
_space_group_name_H-M_alt 'P 1'
_space_group_IT_number 1
_space_group_name_Hall 'P 1'
_cell_length_a 8.0899
_cell_length_b 8.0899
_cell_length_c 8.0899
_cell_angle_alpha 109.47
_cell_angle_beta 109.47
_cell_angle_gamma 109.47
loop_
_atom_site_label
_atom_site_fract_x
_atom_site_fract_y
_atom_site_fract_z
Co1 0.0000 0.4232 0.6870
Co2 0.0000 0.6870 0.4232
Co3 0.2638 0.5768 0.5768
Co4 0.3130 0.3130 0.7362
Co5 0.3130 0.7362 0.3130
Co6 0.4232 0.0000 0.6870
Co7 0.4232 0.6870 0.0000
Co8 0.5768 0.2638 0.5768
Co9 0.5768 0.5768 0.2638
Co10 0.6870 0.0000 0.4232
Co11 0.6870 0.4232 0.0000
Co12 0.7362 0.3130 0.3130
W1 0.0000 0.0000 0.0000
W2 0.0000 0.0000 0.6506
W3 0.0000 0.2006 0.3993
W4 0.0000 0.3993 0.2006
W5 0.0000 0.6506 0.0000
W6 0.1987 0.7994 0.7994
W7 0.2006 0.0000 0.3993
W8 0.2006 0.3993 0.0000
W9 0.3494 0.3494 0.3494
W10 0.3993 0.0000 0.2006
W11 0.3993 0.2006 0.0000
W12 0.6007 0.6007 0.8013
W13 0.6007 0.8013 0.6007
W14 0.6506 0.0000 0.0000
W15 0.7994 0.1987 0.7994
W16 0.7994 0.7994 0.1987
W17 0.8013 0.6007 0.6007
```

Q: What is the theoretical density in the sixth record?
A: 15.61 g cm⁻³